PmGe2Pb PBE-GGA optimized geometry; raw total energy = -0.351 Ry per atom; formation enthalpy at 0 K = -34 kJ per mole of atoms
1.0
4.285 0.000 0.000
0.000 4.738 0.000
0.000 0.000 4.738
Pb Ge Pm
1 2 1
direct
0.500 0.000 0.000
0.000 0.000 0.500
0.000 0.500 0.000
0.500 0.500 0.500